Compound: CdPt2Pb
Source: Alexandria
Functional: PBEsol
Structure: optimized geometry

The value obtained for the relative energy among the computed polymorphs is 0.000 eV per atom. Its space group is Amm2, No. 38. The calculation puts the formation energy at -127 meV/atom. Its density of states at the Fermi level is 0.40 states/eV per atom. The final energy is -4.907 eV/atom.

Lattice parameters (Å, degrees): 3.575 4.185 5.473 90.00 109.06 90.00
Fractional positions:
Pt 0.663 0.500 0.325
Cd 0.103 0.000 0.205
Pt 0.827 0.000 0.655
Pb 0.400 0.500 0.799

---

Compound: BaMnGa2Si
Source: Alexandria
Functional: PBEsol
Structure: optimized geometry

Its space group is P4/mmm, No. 123. Its density of states at the Fermi level is 0.36 states/eV per atom. The value obtained for the uncorrected formation energy is -0.353 eV per atom. The final energy is -5.220 eV/atom.

Lattice parameters (Å, degrees): 4.487 4.691 4.691 90.00 90.00 90.00
Fractional positions:
Ga 0.000 0.500 0.000
Ba 0.500 0.500 0.500
Si 0.500 0.000 0.000
Ga 0.000 0.000 0.500
Mn 0.000 0.000 0.000

---

Compound: ScTlCoBi2
Source: Alexandria
Functional: PBEsol
Structure: optimized geometry

Its space group is P4/mmm, No. 123. The calculation puts the formation energy at 1371 meV/atom. Its density of states at the Fermi level is 1.70 states/eV per atom. The final energy is -3.737 eV/atom.

Lattice parameters (Å, degrees): 5.325 5.652 5.652 90.00 90.00 90.00
Fractional positions:
Co 0.500 0.500 0.500
Bi 0.000 0.000 0.500
Sc 0.500 0.000 0.000
Bi 0.000 0.500 0.000
Tl 0.000 0.000 0.000

---

Compound: LaPdS2N
Source: Alexandria
Functional: PBEsol
Structure: optimized geometry

Its space group is P4/mmm, No. 123. Its density of states at the Fermi level is 1.26 states/eV per atom. The value obtained for the uncorrected formation energy is 0.731 eV per atom. The final energy is -4.989 eV/atom.

Lattice parameters (Å, degrees): 4.098 5.466 5.466 90.00 90.00 90.00
Fractional positions:
Pd 0.500 0.500 0.500
La 0.000 0.000 0.000
N 0.500 0.000 0.000
S 0.000 0.000 0.500
S 0.000 0.500 0.000

---

Compound: LaScCu2
Source: Alexandria
Functional: PBEsol
Structure: optimized geometry

The value obtained for the relative energy among the computed polymorphs is 0.160 eV per atom. Its space group is Imm2, No. 44. The calculation puts the formation energy at -5 meV/atom. Its density of states at the Fermi level is 1.07 states/eV per atom. The final energy is -5.160 eV/atom.

Lattice parameters (Å, degrees): 3.259 4.663 5.810 113.66 106.29 90.00
Fractional positions:
Cu 0.961 0.961 0.923
La 0.525 0.525 0.050
Sc 0.729 0.229 0.458
Cu 0.285 0.785 0.569

---

Compound: K2Ge2O5
Source: Alexandria
Functional: PBEsol
Structure: optimized geometry

Its space group is Cc, No. 9. Its density of states at the Fermi level is 0.00 states/eV per atom. The value obtained for the uncorrected formation energy is -1.777 eV per atom. The final energy is -6.043 eV/atom.

Lattice parameters (Å, degrees): 10.264 10.264 10.299 68.38 68.38 68.74
Fractional positions:
Ge 0.480 0.522 0.176
O 0.968 0.511 0.500
Ge 0.091 0.124 0.777
K 0.569 0.035 0.714
O 0.973 0.299 0.793
O 0.006 0.002 0.437
O 0.572 0.315 0.645
O 0.543 0.773 0.759
O 0.052 0.581 0.941
K 0.312 0.372 0.041
O 0.955 0.830 0.235
O 0.581 0.052 0.441
O 0.139 0.515 0.658
K 0.899 0.383 0.068
O 0.458 0.615 0.305
O 0.272 0.094 0.745
O 0.566 0.627 0.523
K 0.761 0.789 0.481
Ge 0.124 0.091 0.277
Ge 0.610 0.153 0.266
O 0.773 0.543 0.259
O 0.339 0.546 0.769
K 0.718 0.163 0.879
O 0.299 0.973 0.293
O 0.627 0.566 0.023
O 0.594 0.833 0.271
Ge 0.976 0.477 0.671
O 0.830 0.955 0.735
Ge 0.641 0.607 0.833
O 0.315 0.572 0.145
O 0.615 0.458 0.805
O 0.096 0.062 0.128
Ge 0.999 0.955 0.625
K 0.372 0.312 0.541
O 0.094 0.272 0.245
O 0.833 0.594 0.771
Ge 0.153 0.610 0.766
Ge 0.477 0.976 0.171
O 0.511 0.968 0.000
K 0.163 0.718 0.379
K 0.383 0.899 0.568
K 0.860 0.321 0.474
Ge 0.955 0.999 0.125
O 0.143 0.791 0.647
O 0.546 0.339 0.269
O 0.062 0.096 0.628
Ge 0.607 0.641 0.333
K 0.789 0.761 0.981
K 0.035 0.569 0.214
Ge 0.522 0.480 0.676
O 0.791 0.143 0.147
K 0.321 0.860 0.974
O 0.515 0.139 0.158
O 0.002 0.006 0.937

---

Compound: Ta7Mo
Source: Alexandria
Functional: PBEsol
Structure: optimized geometry

The value obtained for the relative energy among the computed polymorphs is 0.019 eV per atom. Its space group is P2/m, No. 10. The calculation puts the formation energy at -27 meV/atom. Its density of states at the Fermi level is 1.23 states/eV per atom. The final energy is -12.480 eV/atom.

Lattice parameters (Å, degrees): 2.839 5.391 9.177 90.00 90.00 100.02
Fractional positions:
Ta 0.763 0.248 0.754
Ta 0.000 0.000 0.500
Ta 0.237 0.752 0.246
Mo 0.000 0.000 0.000
Ta 0.763 0.248 0.246
Ta 0.237 0.752 0.754
Ta 0.500 0.500 0.500
Ta 0.500 0.500 0.000

---

Compound: In2FeCl
Source: Alexandria
Functional: PBEsol
Structure: optimized geometry

The value obtained for the relative energy among the computed polymorphs is 0.218 eV per atom. Its space group is Fm-3m, No. 225. Its density of states at the Fermi level is 0.31 states/eV per atom. The value obtained for the uncorrected formation energy is 0.381 eV per atom. The final energy is -3.854 eV/atom.

Lattice parameters (Å, degrees): 4.952 4.952 4.952 60.00 60.00 60.00
Fractional positions:
Fe 0.500 0.500 0.500
In 0.750 0.750 0.750
In 0.250 0.250 0.250
Cl 0.000 0.000 0.000